# 1
This record from Alexandria describes crystalline Rb2CrAgCl6 at its relaxed geometry. The functional is PBE.

ΔE_f (raw)	-1287.4	meV/atom
total energy	-3.84	eV/atom

a b c (Å): 7.037 7.037 7.037
angles (deg): 114.68 114.68 99.50
Atoms (fractional coordinates):
Rb: 0.250 0.750 0.500
Rb: 0.750 0.250 0.500
Cr: 0.000 0.000 0.000
Ag: 0.500 0.500 0.000
Cl: 0.223 0.223 0.445
Cl: 0.223 0.777 0.000
Cl: 0.246 0.246 0.000
Cl: 0.754 0.754 0.000
Cl: 0.777 0.223 0.000
Cl: 0.777 0.777 0.555

=====

# 2
This record from Alexandria describes crystalline CrAgSCl2 at its relaxed geometry. The functional is PBE.

ΔE_f (raw)	508.1	meV/atom
total energy	-3.55	eV/atom

a b c (Å): 5.310 5.310 4.606
angles (deg): 90.00 90.00 90.00
Atoms (fractional coordinates):
Cr: 0.000 0.000 0.000
Ag: 0.500 0.500 0.000
S: 0.500 0.500 0.500
Cl: 0.000 0.500 0.500
Cl: 0.500 0.000 0.500

=====

# 3
This record from Alexandria describes crystalline CrAgSCl2 at its relaxed geometry. The functional is PBE.

ΔE_f (raw)	327.3	meV/atom
total energy	-3.73	eV/atom

a b c (Å): 4.878 4.878 5.064
angles (deg): 90.00 90.00 90.00
Atoms (fractional coordinates):
Cr: 0.000 0.000 0.000
Ag: 0.500 0.500 0.500
S: 0.500 0.500 0.000
Cl: 0.000 0.500 0.500
Cl: 0.500 0.000 0.500

=====

# 4
This record from Alexandria describes crystalline CrAgSCl2 at its relaxed geometry. The functional is PBE.

ΔE_f (raw)	-295.0	meV/atom
total energy	-4.35	eV/atom

a b c (Å): 4.842 4.842 4.592
angles (deg): 90.00 90.00 90.00
Atoms (fractional coordinates):
Cr: 0.000 0.000 0.000
Ag: 0.500 0.500 0.500
S: 0.000 0.000 0.500
Cl: 0.000 0.500 0.000
Cl: 0.500 0.000 0.000